No. 1
Entry from the Alexandria database: a geometry-optimized PrHoPb structure (PBE).

Properties
energy above the most stable polymorph in this dataset: 0.81 eV per formula unit
DFT formation energy: -192 meV per atom
symmetry: P2_1, No. 4
total energy: -27.3 eV per cell

Cell lengths 4.4865, 4.5156, 10.1456 Å; angles 102.85, 90.00, 90.00 degrees
Last column: nearest neighbours and their distance in Å.
Fractional coordinates of all 6 atoms:
Pb1 0.8476 0.9420 0.3051  2 Pb 3.08, 1 Ho 3.13, 4 Pr 3.29
Ho1 0.8457 0.7830 0.9882  1 Pb 3.13
Pb2 0.3476 0.0480 0.5184  2 Pb 3.08, 1 Ho 3.13, 4 Pr 3.29
Pr1 0.8474 0.5899 0.6023  4 Pb 3.29
Ho2 0.3457 0.2065 0.8353  1 Pb 3.13
Pr2 0.3474 0.4000 0.2213  4 Pb 3.29

=====

No. 2
Entry from the Alexandria database: a geometry-optimized InHPtRh structure (PBE).

Properties
symmetry: Cm, No. 8
total energy: -20.2 eV per cell

Cell lengths 3.6761, 2.9896, 5.4102 Å; angles 106.04, 109.84, 90.00 degrees
Last column: nearest neighbours and their distance in Å.
Fractional coordinates of all 4 atoms:
Pt1 0.4079 0.9258 0.8516  2 H 2.02-2.03
Rh1 0.7184 0.2357 0.4714  2 H 1.80
In1 0.0703 0.5878 0.1756  4 Rh 2.77, 4 Pt 2.84-2.85, 4 H 2.85-3.05, 2 In 2.99
H1 0.8223 0.8380 0.6759  2 Rh 1.80

=====

No. 3
Entry from the Alexandria database: a geometry-optimized LiTbFe structure (PBE).

Properties
energy above the most stable polymorph in this dataset: 0.37 eV per formula unit
DFT formation energy: 161 meV per atom
symmetry: C2/m, No. 12
total energy: -29.0 eV per cell

Cell lengths 3.8439, 5.0555, 6.6715 Å; angles 99.17, 106.74, 90.00 degrees
Last column: nearest neighbours and their distance in Å.
Fractional coordinates of all 6 atoms:
Fe1 0.7633 0.0924 0.5266  2 Fe 2.14
Li1 0.4158 0.1844 0.8315  3 Fe 2.48-2.72
Li2 0.5842 0.8156 0.1685  3 Fe 2.48-2.72
Tb1 0.1359 0.3506 0.2718  4 Fe 2.76-2.96
Tb2 0.8641 0.6494 0.7282  4 Fe 2.76-2.96
Fe2 0.2367 0.9076 0.4734  2 Fe 2.14

=====

No. 4
Entry from the Alexandria database: a geometry-optimized LaSb2Os structure (PBE).

Properties
formation energy (no corrections): -0.13 eV/atom
symmetry: Pm, No. 6
total energy: -24.9 eV per cell

Cell lengths 3.8266, 4.5952, 6.4535 Å; angles 69.28, 90.00, 90.00 degrees
Last column: nearest neighbours and their distance in Å.
Fractional coordinates of all 4 atoms:
Sb1 0.5000 0.1887 0.2452  1 Os 2.63
Sb2 0.0000 0.8149 0.9980  2 Os 2.70
Os1 0.5000 0.9720 0.6812  3 Sb 2.63-2.70
La1 0.0000 0.5245 0.5756  4 Os 3.06

=====

- What is the total energy in the third record?
  -29.0 eV per cell